Record 1
DFT (PBE) results for crystalline Ga6SnI8 at its relaxed geometry.

a b c (Å): 11.2939 11.2939 4.8989
angles (deg): 90.00 90.00 120.00
Space group P-3 (No. 147)
Unique sites:
Ga 0.1099 0.4650 0.2507 [6 per cell]
Sn 0.0000 0.0000 0.5000 [1 per cell]
I 0.0449 0.7516 0.2523 [6 per cell]
I 0.3333 0.6667 0.7447 [2 per cell]

---

Record 2
DFT (PBE) results for crystalline Ga4SnI6 at its relaxed geometry.

a b c (Å): 13.036 13.036 10.017
angles (deg): 90.00 90.05 90.00
Space group C2/c (No. 15)
Unique sites:
Ga 0.000 0.189 0.250 [4 per cell]
Ga 0.000 0.189 0.750 [4 per cell]
Ga 0.189 0.500 0.250 [8 per cell]
Sn 0.250 0.250 0.000 [4 per cell]
I 0.024 0.342 0.000 [8 per cell]
I 0.158 0.024 0.000 [8 per cell]
I 0.250 0.250 0.309 [8 per cell]

---

Record 3
DFT (PBE) results for crystalline Ga2Sn2I at its relaxed geometry.

a b c (Å): 4.836 4.836 11.686
angles (deg): 90.00 90.00 90.00
Space group I4/mmm (No. 139)
Unique sites:
Ga 0.000 0.000 0.108 [4 per cell]
Sn 0.000 0.500 0.250 [4 per cell]
I 0.000 0.000 0.500 [2 per cell]

Results
E above lowest polymorph = 0.000 eV/atom

---

Record 4
DFT (PBE) results for crystalline Ga3SnI6 at its relaxed geometry.

a b c (Å): 13.4611 13.4611 16.2035
angles (deg): 90.00 90.00 120.00
Space group R-3 (No. 148, hexagonal axes)
Unique sites:
Ga 0.0439 0.5987 0.3627 [18 per cell]
Sn 0.0000 0.0000 0.0000 [3 per cell]
Sn 0.0000 0.0000 0.5000 [3 per cell]
I 0.0229 0.8297 0.3959 [18 per cell]
I 0.0256 0.8185 0.8913 [18 per cell]

---

Record 5
DFT (PBE) results for crystalline GaSnI2 at its relaxed geometry.

a b c (Å): 4.0596 4.0596 30.8855
angles (deg): 90.00 90.00 120.00
Space group R-3m (No. 166, hexagonal axes)
Unique sites:
Ga 0.0000 0.0000 0.0000 [3 per cell]
Sn 0.0000 0.0000 0.5000 [3 per cell]
I 0.0000 0.0000 0.4006 [6 per cell]

Results
E above lowest polymorph = 0.000 eV/atom

---

Record 6
DFT (PBE) results for crystalline Ga5SnI8 at its relaxed geometry.

a b c (Å): 10.879 10.879 8.796
angles (deg): 90.00 90.00 90.00
Space group I-4 (No. 82)
Unique sites:
Ga 0.000 0.000 0.000 [2 per cell]
Ga 0.228 0.741 0.369 [8 per cell]
Sn 0.000 0.500 0.750 [2 per cell]
I 0.038 0.778 0.643 [8 per cell]
I 0.041 0.711 0.092 [8 per cell]

---

Record 7
DFT (PBE) results for crystalline Ga2Sn2I at its relaxed geometry.

a b c (Å): 4.895 4.895 11.694
angles (deg): 90.00 90.00 90.00
Space group I4/mmm (No. 139)
Unique sites:
Ga 0.000 0.500 0.250 [4 per cell]
Sn 0.000 0.000 0.124 [4 per cell]
I 0.000 0.000 0.500 [2 per cell]

Results
E above lowest polymorph = 0.012 eV/atom

---

Record 8
DFT (PBE) results for crystalline GaSnI2 at its relaxed geometry.

a b c (Å): 5.966 5.966 19.319
angles (deg): 90.00 90.00 90.00
Space group I-42d (No. 122)
Unique sites:
Ga 0.000 0.000 0.000 [4 per cell]
Sn 0.000 0.000 0.500 [4 per cell]
I 0.244 0.250 0.625 [8 per cell]

Results
E above lowest polymorph = 0.107 eV/atom

---

Record 9
DFT (PBE) results for crystalline SrGa2SnI at its relaxed geometry.

a b c (Å): 6.217 6.217 6.231
angles (deg): 90.00 90.00 90.00
Space group P4/mmm (No. 123)
Unique sites:
Sr 0.000 0.000 0.000 [1 per cell]
Ga 0.000 0.500 0.000 [2 per cell]
Sn 0.000 0.000 0.500 [1 per cell]
I 0.500 0.500 0.500 [1 per cell]

---

Record 10
DFT (PBE) results for crystalline GaSnTe2I at its relaxed geometry.

a b c (Å): 5.420 5.420 5.660
angles (deg): 90.00 90.00 90.00
Space group P4/mmm (No. 123)
Unique sites:
Ga 0.000 0.000 0.000 [1 per cell]
Sn 0.500 0.500 0.500 [1 per cell]
Te 0.000 0.500 0.000 [2 per cell]
I 0.000 0.000 0.500 [1 per cell]

Results
E above lowest polymorph = 0.000 eV/atom

---

In the order shown, the computed formation energy from raw total energies values come out to -0.298 -0.338 0.023 -0.334 -0.107 -0.321 0.035 0.000 0.664 0.145 eV/atom.